# CoOs2 (PBE, optimized geometry)
data_CoOs2
_chemical_formula_sum 'Co4 Os8'
_space_group_name_H-M_alt 'I 4/m c m'
_space_group_IT_number 140
_space_group_name_Hall '-I 4 2c'
_cell_length_a 5.902
_cell_length_b 5.902
_cell_length_c 4.539
_cell_angle_alpha 90.00
_cell_angle_beta 90.00
_cell_angle_gamma 90.00
loop_
_atom_site_label
_atom_site_type_symbol
_atom_site_fract_x
_atom_site_fract_y
_atom_site_fract_z
_atom_site_occupancy
Co1 Co 0.000 0.000 0.250 1
Os1 Os 0.149 0.351 0.000 1
# volume = 13.17 A^3/atom
# VASP energy = -9.56 eV per atom
# energy above the most stable polymorph in this dataset = 257 meV/atom
# E_form = 0.298 eV per atom



# Sm8DyTl2 (PBE, optimized geometry)
data_Sm8DyTl2
_chemical_formula_sum 'Sm16 Dy2 Tl4'
_space_group_name_H-M_alt 'C 1 2/m 1'
_space_group_IT_number 12
_cell_length_a 17.469
_cell_length_b 5.175
_cell_length_c 8.325
_cell_angle_alpha 90.00
_cell_angle_beta 111.24
_cell_angle_gamma 90.00
loop_
_space_group_symop_operation_xyz
'x,y,z'
'-x,-y,-z'
'-x,y,-z'
'x,-y,z'
'x+1/2,y+1/2,z'
'-x+1/2,-y+1/2,-z'
'-x+1/2,y+1/2,-z'
'x+1/2,-y+1/2,z'
loop_
_atom_site_label
_atom_site_type_symbol
_atom_site_fract_x
_atom_site_fract_y
_atom_site_fract_z
_atom_site_occupancy
Sm1 Sm 0.052 0.000 0.238 1
Sm2 Sm 0.100 0.500 0.964 1
Sm3 Sm 0.145 0.000 0.704 1
Sm4 Sm 0.185 0.500 0.446 1
Dy1 Dy 0.000 0.500 0.500 1
Tl1 Tl 0.223 0.000 0.141 1
# volume = 31.88 A^3/atom
# VASP energy = -4.38 eV per atom
# energy above the most stable polymorph in this dataset = 0 meV/atom
# E_form = -0.102 eV per atom



# Pm2Nd2N3 (PBE, optimized geometry)
data_Pm2Nd2N3
_chemical_formula_sum 'Pm4 Nd4 N6'
_space_group_name_H-M_alt 'C 1 2/m 1'
_space_group_IT_number 12
_cell_length_a 12.227
_cell_length_b 3.641
_cell_length_c 6.350
_cell_angle_alpha 90.00
_cell_angle_beta 101.34
_cell_angle_gamma 90.00
loop_
_space_group_symop_operation_xyz
'x,y,z'
'-x,-y,-z'
'-x,y,-z'
'x,-y,z'
'x+1/2,y+1/2,z'
'-x+1/2,-y+1/2,-z'
'-x+1/2,y+1/2,-z'
'x+1/2,-y+1/2,z'
loop_
_atom_site_label
_atom_site_type_symbol
_atom_site_fract_x
_atom_site_fract_y
_atom_site_fract_z
_atom_site_occupancy
Pm1 Pm 0.136 0.000 0.359 1
Nd1 Nd 0.124 0.500 0.884 1
N1 N 0.000 0.000 0.000 1
N2 N 0.244 0.500 0.252 1
# volume = 19.80 A^3/atom
# VASP energy = -7.49 eV per atom
# formation energy without anion corrections = -1198 meV/atom
# energy above the most stable polymorph in this dataset = 0 meV/atom



# TiHgOsO6 (PBE, optimized geometry)
data_TiHgOsO6
_chemical_formula_sum 'Ti4 Hg4 Os4 O24'
_space_group_name_H-M_alt 'I m m a'
_space_group_IT_number 74
_space_group_name_Hall '-I 2b 2'
_cell_length_a 7.211
_cell_length_b 7.213
_cell_length_c 10.519
_cell_angle_alpha 90.00
_cell_angle_beta 90.00
_cell_angle_gamma 90.00
loop_
_atom_site_label
_atom_site_type_symbol
_atom_site_fract_x
_atom_site_fract_y
_atom_site_fract_z
_atom_site_occupancy
Ti1 Ti 0.250 0.250 0.250 1
Hg1 Hg 0.000 0.250 0.653 1
Os1 Os 0.000 0.000 0.000 1
O1 O 0.000 0.250 0.300 1
O2 O 0.000 0.250 0.933 1
O3 O 0.180 0.067 0.116 1
# volume = 15.20 A^3/atom
# VASP energy = -6.83 eV per atom
# formation energy without anion corrections = -1369 meV/atom